Entry 1:
Here is a geometry-optimized TbLuCuNi structure from the Alexandria database. Energies are from GGA-PBE.

Values from the calculation:
Formation energy from the elements ... -349 meV/atom
Space group ... F-43m

Cell: 4.7932 4.7932 4.7932 Å, 60.00 60.00 60.00°
Fractional coordinates of all 4 atoms:
1 Ni 0.7500 0.7500 0.7500
2 Lu 0.5000 0.5000 0.5000
3 Tb 0.0000 0.0000 0.0000
4 Cu 0.2500 0.2500 0.2500



Entry 2:
Here is a geometry-optimized CePm4Ho7 structure from the Alexandria database. Energies are from GGA-PBE.

Values from the calculation:
Formation energy from the elements ... 152 meV/atom
Space group ... C2/m

Cell: 5.9746 6.9252 11.6588 Å, 72.70 59.50 89.99°
Each line ends with the local moment (μB).
Fractional coordinates of all 12 atoms:
1 Ce 0.0000 0.0000 0.0000  0.80
2 Pm 0.4754 0.5896 0.2711  0.00
3 Pm 0.5246 0.4104 0.7289  0.00
4 Pm 0.5247 0.8606 0.7289  0.00
5 Pm 0.4753 0.1394 0.2711  0.00
6 Ho 0.8307 0.5407 0.9190  0.04
7 Ho 0.1693 0.4593 0.0810  0.04
8 Ho 0.1202 0.1856 0.6287  0.01
9 Ho 0.8798 0.8144 0.3713  0.01
10 Ho 0.1864 0.7160 0.5680  -0.04
11 Ho 0.5000 0.0000 0.0000  0.30
12 Ho 0.8136 0.2840 0.4320  -0.04



Entry 3:
Here is a geometry-optimized Mg2ScAs structure from the Alexandria database. Energies are from GGA-PBE.

Values from the calculation:
Formation energy from the elements ... -47 meV/atom
Space group ... R-3m

Cell: 10.0767 10.0767 10.0767 Å, 18.21 18.21 18.21°
Each line ends with the local moment (μB).
Fractional coordinates of all 4 atoms:
1 As 0.7500 0.7500 0.7500  0.01
2 Mg 0.0059 0.0059 0.0059  0.00
3 Mg 0.4941 0.4941 0.4941  0.00
4 Sc 0.2500 0.2500 0.2500  0.28



Entry 4:
Here is a geometry-optimized AlMoBr3 structure from the Alexandria database. Energies are from GGA-PBE.

Values from the calculation:
Space group ... Pm-3m
Uncorrected formation energy ... 8.3 kcal/mol of atoms

Cell: 5.2110 5.2110 5.2110 Å, 90.00 90.00 90.00°
Each line ends with the local moment (μB).
Fractional coordinates of all 5 atoms:
1 Al 0.0000 0.0000 0.0000  0.01
2 Mo 0.5000 0.5000 0.5000  4.10
3 Br 0.0000 0.5000 0.0000  0.02
4 Br 0.0000 0.0000 0.5000  0.02
5 Br 0.5000 0.0000 0.0000  0.02



Entry 5:
Here is a geometry-optimized Ca2BeIn2 structure from the Alexandria database. Energies are from GGA-PBE.

Values from the calculation:
Formation energy from the elements ... -68 meV/atom
Space group ... P4/mbm

Cell: 7.1291 7.1291 5.1055 Å, 90.00 90.00 90.00°
Fractional coordinates of all 10 atoms:
1 Be 0.0000 0.0000 0.0000
2 Be 0.5000 0.5000 0.0000
3 Ca 0.1686 0.6686 0.5000
4 Ca 0.6686 0.8314 0.5000
5 Ca 0.8314 0.3314 0.5000
6 Ca 0.3314 0.1686 0.5000
7 In 0.3530 0.8530 0.0000
8 In 0.8530 0.6470 0.0000
9 In 0.6470 0.1470 0.0000
10 In 0.1470 0.3530 0.0000



Entry 6:
Here is a geometry-optimized GaPHIrPtS structure from the Alexandria database. Energies are from GGA-PBE.

Values from the calculation:
Space group ... P1
Total DFT energy (no corrections) ... -0.2001 hartree per atom

Cell: 3.7459 5.2109 5.4751 Å, 98.46 107.61 98.14°
Fractional coordinates of all 6 atoms:
1 Ga 0.3637 0.4025 0.7628
2 P 0.1536 0.9400 0.6676
3 H 0.4416 0.8984 0.2268
4 Ir 0.5298 0.7152 0.4731
5 Pt 0.0203 0.7037 0.9688
6 S 0.8742 0.4265 0.2594



Entry 7:
Here is a geometry-optimized CoRhCl structure from the Alexandria database. Energies are from GGA-PBE.

Values from the calculation:
Space group ... I4mm
Uncorrected formation energy ... 8.0 kcal/mol of atoms

Cell: 5.6666 5.6661 2.9184 Å, 75.09 75.07 29.85°
Each line ends with the local moment (μB).
Fractional coordinates of all 3 atoms:
1 Co 0.3272 0.3272 0.6728  2.16
2 Rh 0.6835 0.6835 0.3165  1.17
3 Cl 0.9891 0.9891 0.0109  0.11



Entry 8:
Here is a geometry-optimized KBS3 structure from the Alexandria database. Energies are from GGA-PBE.

Values from the calculation:
Space group ... Pm-3m
Uncorrected formation energy ... 46.3 kcal/mol of atoms

Cell: 5.7431 5.7431 5.7431 Å, 90.00 90.00 90.00°
Each line ends with the local moment (μB).
Fractional coordinates of all 5 atoms:
1 K 0.0000 0.0000 0.0000  0.03
2 B 0.5000 0.5000 0.5000  -0.14
3 S 0.0000 0.5000 0.0000  0.87
4 S 0.0000 0.0000 0.5000  0.95
5 S 0.5000 0.0000 0.0000  0.76



Entry 9:
Here is a geometry-optimized C23Ar4 structure from the Alexandria database. Energies are from GGA-PBE.

Values from the calculation:
Formation energy from the elements ... 1358 meV/atom
Space group ... Pm-3n

Cell: 7.2095 7.2095 7.2095 Å, 90.00 90.00 90.00°
Fractional coordinates of all 54 atoms:
1 Ar 0.0000 0.0000 0.0000
2 Ar 0.5000 0.5000 0.5000
3 Ar 0.2500 0.0000 0.5000
4 Ar 0.7500 0.0000 0.5000
5 Ar 0.0000 0.5000 0.2500
6 Ar 0.0000 0.5000 0.7500
7 Ar 0.5000 0.2500 0.0000
8 Ar 0.5000 0.7500 0.0000
9 C 0.2500 0.5000 0.0000
10 C 0.7500 0.5000 0.0000
11 C 0.5000 0.0000 0.2500
12 C 0.5000 0.0000 0.7500
13 C 0.0000 0.2500 0.5000
14 C 0.0000 0.7500 0.5000
15 C 0.3130 0.3130 0.3130
16 C 0.3130 0.6870 0.6870
17 C 0.6870 0.3130 0.6870
18 C 0.6870 0.6870 0.3130
19 C 0.1870 0.1870 0.1870
20 C 0.1870 0.8130 0.8130
21 C 0.8130 0.1870 0.8130
22 C 0.8130 0.8130 0.1870
23 C 0.6870 0.6870 0.6870
24 C 0.6870 0.3130 0.3130
25 C 0.3130 0.6870 0.3130
26 C 0.3130 0.3130 0.6870
27 C 0.8130 0.8130 0.8130
28 C 0.8130 0.1870 0.1870
29 C 0.1870 0.8130 0.1870
30 C 0.1870 0.1870 0.8130
31 C 0.0000 0.8708 0.3015
32 C 0.0000 0.1292 0.6985
33 C 0.0000 0.8708 0.6985
34 C 0.0000 0.1292 0.3015
35 C 0.8708 0.3015 0.0000
36 C 0.8708 0.6985 0.0000
37 C 0.1292 0.3015 0.0000
38 C 0.1292 0.6985 0.0000
39 C 0.3015 0.0000 0.8708
40 C 0.3015 0.0000 0.1292
41 C 0.6985 0.0000 0.1292
42 C 0.6985 0.0000 0.8708
43 C 0.6292 0.5000 0.1985
44 C 0.6292 0.5000 0.8015
45 C 0.3708 0.5000 0.8015
46 C 0.3708 0.5000 0.1985
47 C 0.5000 0.1985 0.6292
48 C 0.5000 0.8015 0.3708
49 C 0.5000 0.1985 0.3708
50 C 0.5000 0.8015 0.6292
51 C 0.1985 0.6292 0.5000
52 C 0.1985 0.3708 0.5000
53 C 0.8015 0.6292 0.5000
54 C 0.8015 0.3708 0.5000



Entry 10:
Here is a geometry-optimized Pm5Sm2Er4 structure from the Alexandria database. Energies are from GGA-PBE.

Values from the calculation:
Formation energy from the elements ... 184 meV/atom
Space group ... Immm

Cell: 3.5239 9.1202 12.7125 Å, 111.02 97.97 90.00°
Fractional coordinates of all 11 atoms:
1 Pm 0.8559 0.0551 0.7117
2 Pm 0.8559 0.6566 0.7117
3 Pm 0.1441 0.3434 0.2883
4 Pm 0.1441 0.9449 0.2883
5 Pm 0.5000 0.0000 0.0000
6 Sm 0.2686 0.2686 0.5371
7 Sm 0.7314 0.7314 0.4629
8 Er 0.0000 0.3141 0.0000
9 Er 0.5964 0.5964 0.1929
10 Er 0.0000 0.6859 0.0000
11 Er 0.4036 0.4036 0.8071



Entry 11:
Here is a geometry-optimized Gd2YEr structure from the Alexandria database. Energies are from GGA-PBE.

Values from the calculation:
Formation energy from the elements ... 31 meV/atom
Space group ... P4/mmm

Cell: 5.0248 5.0360 5.0360 Å, 90.00 90.00 90.00°
Each line ends with the local moment (μB).
Fractional coordinates of all 4 atoms:
1 Y 0.5000 0.0000 0.0000  0.05
2 Gd 0.0000 0.0000 0.5000  -7.13
3 Gd 0.0000 0.5000 0.0000  -7.13
4 Er 0.5000 0.5000 0.5000  0.04



Entry 12:
Here is a geometry-optimized LaTaCr2 structure from the Alexandria database. Energies are from GGA-PBE.

Values from the calculation:
Formation energy from the elements ... 594 meV/atom
Space group ... Cm

Cell: 4.9657 4.9657 5.4787 Å, 76.41 76.41 36.25°
Fractional coordinates of all 4 atoms:
1 Cr 0.0234 0.0234 0.9855
2 Cr 0.7009 0.7009 0.8493
3 La 0.4905 0.4905 0.5086
4 Ta 0.2852 0.2852 0.1566



Entry 13:
Here is a geometry-optimized Zn2Ag7Au2 structure from the Alexandria database. Energies are from GGA-PBE.

Values from the calculation:
Formation energy from the elements ... -30 meV/atom
Space group ... Cmc2_1

Cell: 4.4852 5.7310 16.3591 Å, 90.00 65.71 90.00°
Fractional coordinates of all 22 atoms:
1 Zn 0.4135 0.4755 0.7244
2 Zn 0.0712 0.9750 0.6194
3 Zn 0.9288 0.4750 0.3806
4 Zn 0.5865 0.9755 0.2756
5 Ag 0.1476 0.4786 0.9017
6 Ag 0.7930 0.7255 0.8049
7 Ag 0.7925 0.2272 0.8053
8 Ag 0.6657 0.7277 0.5562
9 Ag 0.5850 0.4758 0.2764
10 Ag 0.4998 0.2288 0.0002
11 Ag 0.6661 0.2225 0.5560
12 Ag 0.3339 0.7225 0.4440
13 Ag 0.5003 0.7288 0.9998
14 Ag 0.4150 0.9758 0.7236
15 Ag 0.3343 0.2277 0.4438
16 Ag 0.2070 0.2255 0.1951
17 Ag 0.2075 0.7272 0.1947
18 Ag 0.8524 0.9786 0.0983
19 Au 0.8633 0.4786 0.0910
20 Au 0.9435 0.9748 0.3710
21 Au 0.0565 0.4748 0.6290
22 Au 0.1367 0.9786 0.9090



Entry 14:
Here is a geometry-optimized B2PtSe structure from the Alexandria database. Energies are from GGA-PBE.

Values from the calculation:
Space group ... I-42d
Uncorrected formation energy ... 5.5 kcal/mol of atoms

Cell: 4.9887 4.9887 5.7584 Å, 64.33 64.33 90.00°
Fractional coordinates of all 8 atoms:
1 B 0.6279 0.1250 0.2500
2 B 0.1221 0.6250 0.2500
3 B 0.3750 0.3721 0.7500
4 B 0.8750 0.8779 0.7500
5 Se 0.5000 0.5000 0.0000
6 Se 0.2500 0.7500 0.5000
7 Pt 0.0000 0.0000 0.0000
8 Pt 0.7500 0.2500 0.5000



Entry 15:
Here is a geometry-optimized RbLaSnSe3 structure from the Alexandria database. Energies are from GGA-PBE.

Values from the calculation:
Space group ... P2_1/m
Uncorrected formation energy ... -30.8 kcal/mol of atoms

Cell: 4.3490 8.9691 11.8323 Å, 106.43 90.00 90.00°
Fractional coordinates of all 12 atoms:
1 Rb 0.7500 0.7631 0.7315
2 Rb 0.2500 0.2369 0.2685
3 La 0.2500 0.6504 0.1499
4 La 0.7500 0.3496 0.8501
5 Sn 0.2500 0.1397 0.5648
6 Sn 0.7500 0.8603 0.4352
7 Se 0.2500 0.6559 0.4098
8 Se 0.7500 0.9009 0.2195
9 Se 0.7500 0.4117 0.1110
10 Se 0.7500 0.3441 0.5902
11 Se 0.2500 0.5883 0.8890
12 Se 0.2500 0.0991 0.7805



Entry 16:
Here is a geometry-optimized Ce2Si5Ru3 structure from the Alexandria database. Energies are from GGA-PBE.

Values from the calculation:
Space group ... C2/c
Uncorrected formation energy ... -19.3 kcal/mol of atoms

Cell: 5.7836 8.1933 8.1934 Å, 93.68 70.33 70.33°
Fractional coordinates of all 20 atoms:
1 Ce 0.2611 0.8668 0.5997
2 Ce 0.2389 0.4003 0.1332
3 Ce 0.7389 0.1332 0.4003
4 Ce 0.7611 0.5997 0.8668
5 Si 0.3368 0.0611 0.2611
6 Si 0.1632 0.7390 0.9389
7 Si 0.6632 0.9389 0.7389
8 Si 0.8368 0.2610 0.0611
9 Si 0.2500 0.2077 0.7923
10 Si 0.7500 0.7923 0.2077
11 Si 0.2500 0.5108 0.4892
12 Si 0.7500 0.4892 0.5108
13 Si 0.2500 0.7773 0.2227
14 Si 0.7500 0.2227 0.7773
15 Ru 0.1313 0.2568 0.5428
16 Ru 0.3687 0.4572 0.7432
17 Ru 0.8687 0.7432 0.4572
18 Ru 0.6313 0.5428 0.2568
19 Ru 0.2500 0.0016 0.9984
20 Ru 0.7500 0.9984 0.0016



Entry 17:
Here is a geometry-optimized ScMn2Mo structure from the Alexandria database. Energies are from GGA-PBE.

Values from the calculation:
Formation energy from the elements ... 253 meV/atom
Space group ... Pmmm

Cell: 3.1877 4.4004 4.3547 Å, 90.00 90.00 90.00°
Each line ends with the local moment (μB).
Fractional coordinates of all 4 atoms:
1 Mn 0.0000 0.0000 0.0000  -2.65
2 Mn 0.5000 0.5000 0.0000  2.67
3 Mo 0.5000 0.0000 0.5000  0.61
4 Sc 0.0000 0.5000 0.5000  -0.07



Entry 18:
Here is a geometry-optimized LaHf2BW structure from the Alexandria database. Energies are from GGA-PBE.

Values from the calculation:
Formation energy from the elements ... 816 meV/atom
Space group ... P4/mmm

Cell: 5.1347 4.4370 5.1347 Å, 90.00 90.00 90.00°
Each line ends with the local moment (μB).
Fractional coordinates of all 5 atoms:
1 B 0.0000 0.5000 0.0000  -0.01
2 Hf 0.0000 0.0000 0.5000  0.16
3 Hf 0.5000 0.0000 0.0000  0.13
4 W 0.0000 0.0000 0.0000  -0.01
5 La 0.5000 0.5000 0.5000  0.16



Entry 19:
Here is a geometry-optimized Ti2V2In structure from the Alexandria database. Energies are from GGA-PBE.

Values from the calculation:
Formation energy from the elements ... 67 meV/atom
Space group ... P4/mbm

Cell: 7.0255 7.0255 3.4025 Å, 90.00 90.00 90.00°
Fractional coordinates of all 10 atoms:
1 Ti 0.1735 0.6735 0.5000
2 Ti 0.6735 0.8265 0.5000
3 Ti 0.8265 0.3265 0.5000
4 Ti 0.3265 0.1735 0.5000
5 In 0.0000 0.0000 0.0000
6 In 0.5000 0.5000 0.0000
7 V 0.3824 0.8824 0.0000
8 V 0.8824 0.6176 0.0000
9 V 0.6176 0.1176 0.0000
10 V 0.1176 0.3824 0.0000



Entry 20:
Here is a geometry-optimized MgSiSN2 structure from the Alexandria database. Energies are from GGA-PBE.

Values from the calculation:
Space group ... P4/mmm
Uncorrected formation energy ... 31.6 kcal/mol of atoms

Cell: 4.0091 4.0091 5.1304 Å, 90.00 90.00 90.00°
Each line ends with the local moment (μB).
Fractional coordinates of all 5 atoms:
1 Mg 0.0000 0.0000 0.0000  -0.01
2 S 0.0000 0.0000 0.5000  0.21
3 Si 0.5000 0.5000 0.5000  -0.03
4 N 0.0000 0.5000 0.0000  1.21
5 N 0.5000 0.0000 0.0000  1.21



| no. | calculated density (g/cm³) |
| --- | --- |
| 1 | 9.73 |
| 2 | 7.98 |
| 3 | 3.20 |
| 4 | 4.26 |
| 5 | 4.08 |
| 6 | 8.76 |
| 7 | 7.29 |
| 8 | 1.28 |
| 9 | 3.86 |
| 10 | 7.46 |
| 11 | 7.44 |
| 12 | 9.09 |
| 13 | 11.09 |
| 14 | 8.67 |
| 15 | 4.35 |
| 16 | 7.13 |
| 17 | 6.82 |
| 18 | 9.80 |
| 19 | 6.18 |
| 20 | 2.26 |